Crystalline Ac5InHg6 at its relaxed geometry, computed with GGA-PBE.

Geometry as CIF:
```
data_Ac5InHg6
_symmetry_space_group_name_H-M 'C 1 2/m 1'
_symmetry_Int_Tables_number 12
_symmetry_space_group_name_Hall '-C 2y'
_cell_length_a 9.812
_cell_length_b 17.158
_cell_length_c 5.531
_cell_angle_alpha 90.00
_cell_angle_beta 124.18
_cell_angle_gamma 90.00
loop_
_atom_site_label
_atom_site_type_symbol
_atom_site_fract_x
_atom_site_fract_y
_atom_site_fract_z
_atom_site_occupancy
Ac1 Ac 0.000 0.000 0.000 1
Ac2 Ac 0.000 0.177 0.500 1
Ac3 Ac 0.000 0.353 0.000 1
In1 In 0.000 0.500 0.500 1
Hg1 Hg 0.235 0.000 0.734 1
Hg2 Hg 0.247 0.164 0.248 1
```

Values from the calculation:
D(E_F) in states/eV/f.u.: 10.0
Formation energy in eV per atom: -0.442
Electronic total energy in eV per formula unit: -30.396